[1]
Tl2CdAu: relaxed, GGA-PBEsol.

Output
space-group type: Pmmm (47)
ΔH_f (0 K): 0.066 eV/atom
density: 12.89 Mg/m³
energy above the most stable polymorph in this dataset: 59 meV/atom
density of states at the Fermi level: 0.93 states/eV/f.u.

Unit cell a=4.258 b=4.655 c=4.667 alpha=90.00 beta=90.00 gamma=90.00
Sites, in units of the cell vectors:
Tl: 0.000 0.000 0.000
Tl: 0.000 0.500 0.500
Cd: 0.500 0.000 0.500
Au: 0.500 0.500 0.000



[2]
Tl2CdAu: relaxed, GGA-PBEsol.

Output
space-group type: R3m (160)
ΔH_f (0 K): 0.034 eV/atom
density: 12.60 Mg/m³
energy above the most stable polymorph in this dataset: 26 meV/atom
density of states at the Fermi level: 1.32 states/eV/f.u.

Unit cell a=9.822 b=9.822 c=9.822 alpha=19.75 beta=19.75 gamma=19.75
Sites, in units of the cell vectors:
Tl: 0.000 0.000 0.000
Tl: 0.235 0.235 0.235
Cd: 0.755 0.755 0.755
Au: 0.491 0.491 0.491